Entry 1:
# MnZnAg2 (GGA-PBE, relaxed)
data_MnZnAg2
_symmetry_space_group_name_H-M 'P 1'
_symmetry_Int_Tables_number 1
_cell_length_a 3.1931
_cell_length_b 3.1113
_cell_length_c 7.2412
_cell_angle_alpha 64.70
_cell_angle_beta 90.00
_cell_angle_gamma 90.00
loop_
_symmetry_equiv_pos_as_xyz
'x,y,z'
loop_
_atom_site_label
_atom_site_type_symbol
_atom_site_fract_x
_atom_site_fract_y
_atom_site_fract_z
Ag1 Ag 0.0000 0.0187 0.9813
Ag2 Ag 0.5000 0.2347 0.2653
Zn1 Zn 0.5000 0.7631 0.7370
Mn1 Mn 0.0000 0.4835 0.5164
# - Raw total energy: -15.67 eV per cell
# - E_form: 120 meV/atom
# - Symmetry: Pm

Entry 2:
# LiTcHgMo2 (GGA-PBE, relaxed)
data_LiTcHgMo2
_symmetry_space_group_name_H-M 'P 1'
_symmetry_Int_Tables_number 1
_cell_length_a 4.7300
_cell_length_b 5.3570
_cell_length_c 4.7300
_cell_angle_alpha 90.00
_cell_angle_beta 90.00
_cell_angle_gamma 90.00
loop_
_symmetry_equiv_pos_as_xyz
'x,y,z'
loop_
_atom_site_label
_atom_site_type_symbol
_atom_site_fract_x
_atom_site_fract_y
_atom_site_fract_z
Mo1 Mo 0.5000 0.0000 0.0000
Mo2 Mo 0.0000 0.0000 0.5000
Tc1 Tc 0.0000 0.0000 0.0000
Hg1 Hg 0.0000 0.5000 0.0000
Li1 Li 0.5000 0.5000 0.5000
# - Raw total energy: -27.91 eV per cell
# - E_form: 1268 meV/atom
# - Symmetry: P4/mmm

Entry 3:
# Pr4YHo8 (GGA-PBE, relaxed)
data_Pr4YHo8
_symmetry_space_group_name_H-M 'P 1'
_symmetry_Int_Tables_number 1
_cell_length_a 11.0784
_cell_length_b 11.0784
_cell_length_c 7.8259
_cell_angle_alpha 90.00
_cell_angle_beta 135.06
_cell_angle_gamma 120.00
loop_
_symmetry_equiv_pos_as_xyz
'x,y,z'
loop_
_atom_site_label
_atom_site_type_symbol
_atom_site_fract_x
_atom_site_fract_y
_atom_site_fract_z
Ho1 Ho 0.0011 0.7604 0.7615
Pr1 Pr 0.0000 0.5000 0.0000
Y1 Y 0.0000 0.5000 0.5000
Ho2 Ho 0.5208 0.7604 0.7615
Ho3 Ho 0.9989 0.7594 0.2385
Pr2 Pr 0.5000 0.5000 0.0000
Ho4 Ho 0.0011 0.2406 0.7615
Pr3 Pr 0.5000 0.0000 0.0000
Ho5 Ho 0.4794 0.2397 0.7192
Pr4 Pr 0.0000 0.0000 0.0000
Ho6 Ho 0.9989 0.2396 0.2385
Ho7 Ho 0.5206 0.7603 0.2808
Ho8 Ho 0.4792 0.2396 0.2385
# - Raw total energy: -55.44 eV per cell
# - E_form: 521 meV/atom
# - Symmetry: R-3m